# 1
PBE-GGA RbInGa2Ge, optimized geometry; E above lowest polymorph = 0 meV per atom; E = -2.97 eV/atom; Fermi-level density of states = 0.323 states/eV/atom; V = 129.12 Å³/f.u.; energy relative to the elements = -0.099 eV/atom
1.0
-2.3824 2.4140 5.6128
2.3824 -2.4140 5.6128
2.3824 2.4140 -5.6128
Rb In Ga Ge
1 1 2 1
direct
0.0000 0.0000 0.0000
0.2472 0.7472 0.5000
0.6183 0.6183 0.0000
0.7510 0.2510 0.5000
0.3847 0.3847 0.0000

# 2
PBE-GGA InGa2GeRh, optimized geometry; E = -3.01 eV/atom; Fermi-level density of states = 0.739 states/eV/atom; V = 131.20 Å³/f.u.; energy relative to the elements = 1.141 eV/atom
1.0
5.0374 0.0000 0.0000
0.0000 5.0374 0.0000
0.0000 0.0000 5.1703
In Ga Ge Rh
1 2 1 1
direct
0.0000 0.0000 0.0000
0.0000 0.5000 0.0000
0.5000 0.0000 0.0000
0.0000 0.0000 0.5000
0.5000 0.5000 0.5000

# 3
PBE-GGA InGaGeRh2, optimized geometry; E = -3.94 eV/atom; Fermi-level density of states = 0.864 states/eV/atom; V = 118.77 Å³/f.u.; energy relative to the elements = 1.082 eV/atom
1.0
4.9417 0.0000 0.0000
0.0000 4.9417 0.0000
0.0000 0.0000 4.8635
In Ga Ge Rh
1 1 1 2
direct
0.0000 0.0000 0.0000
0.0000 0.0000 0.5000
0.5000 0.5000 0.5000
0.0000 0.5000 0.0000
0.5000 0.0000 0.0000

# 4
PBE-GGA Sm2InGaGe, optimized geometry; E = -4.58 eV/atom; Fermi-level density of states = 0.882 states/eV/atom; V = 122.32 Å³/f.u.; energy relative to the elements = -0.615 eV/atom
1.0
6.1734 0.0000 0.0000
0.0000 4.3558 0.0000
-0.0014 0.0000 9.0974
Sm In Ga Ge
4 2 2 2
direct
0.2465 0.2500 0.4619
0.2466 0.2500 0.0378
0.7534 0.7500 0.9622
0.7535 0.7500 0.5381
0.2609 0.7500 0.7494
0.7391 0.2500 0.2506
0.4557 0.7500 0.2497
0.5443 0.2500 0.7503
0.0475 0.7500 0.2498
0.9525 0.2500 0.7502

# 5
PBE-GGA Sr3In2Ga2Ge4, optimized geometry; E = -3.59 eV/atom; Fermi-level density of states = 0.349 states/eV/atom; V = 291.01 Å³/f.u.; energy relative to the elements = -0.406 eV/atom
1.0
4.4343 0.0000 0.0000
-2.2172 3.8403 0.0000
0.0000 0.0000 17.0890
Sr In Ga Ge
3 2 2 4
direct
0.0000 0.0000 0.0000
0.0000 0.0000 0.2751
0.0000 0.0000 0.7249
0.3333 0.6667 0.5615
0.6667 0.3333 0.4385
0.3333 0.6667 0.1506
0.6667 0.3333 0.8494
0.3333 0.6667 0.3862
0.3333 0.6667 0.8738
0.6667 0.3333 0.1262
0.6667 0.3333 0.6138

# 6
PBE-GGA Tb2InGaGe, optimized geometry; E = -4.54 eV/atom; Fermi-level density of states = 0.772 states/eV/atom; V = 117.61 Å³/f.u.; energy relative to the elements = -0.607 eV/atom
1.0
4.3063 0.0000 0.0000
0.0000 8.8967 0.0000
0.0000 0.0000 6.1397
Tb In Ga Ge
4 2 2 2
direct
0.2500 0.0382 0.2472
0.2500 0.4618 0.2472
0.7500 0.5382 0.7528
0.7500 0.9618 0.7528
0.2500 0.2500 0.7378
0.7500 0.7500 0.2622
0.2500 0.7500 0.5451
0.7500 0.2500 0.4549
0.2500 0.7500 0.9528
0.7500 0.2500 0.0472

# 7
PBE-GGA InGa2TcGe, optimized geometry; E = -4.68 eV/atom; Fermi-level density of states = 0.181 states/eV/atom; V = 116.53 Å³/f.u.; energy relative to the elements = 0.074 eV/atom
1.0
4.9262 0.0000 0.0000
0.0000 4.9262 0.0000
0.0000 0.0000 4.8018
In Ga Tc Ge
1 2 1 1
direct
0.0000 0.0000 0.0000
0.0000 0.5000 0.5000
0.5000 0.0000 0.5000
0.5000 0.5000 0.5000
0.5000 0.5000 0.0000

# 8
PBE-GGA YInGaGe2, optimized geometry; E = -4.09 eV/atom; Fermi-level density of states = 0.470 states/eV/atom; V = 131.41 Å³/f.u.; energy relative to the elements = 0.205 eV/atom
1.0
4.8783 0.0000 0.0000
0.0000 4.8783 0.0000
0.0000 0.0000 5.5218
Y In Ga Ge
1 1 1 2
direct
0.0000 0.0000 0.0000
0.5000 0.5000 0.0000
0.0000 0.0000 0.5000
0.0000 0.5000 0.5000
0.5000 0.0000 0.5000

# 9
PBE-GGA Y2InGaGe, optimized geometry; E = -5.29 eV/atom; Fermi-level density of states = 0.675 states/eV/atom; V = 117.01 Å³/f.u.; energy relative to the elements = -0.625 eV/atom
1.0
6.1418 0.0000 0.0000
0.0000 4.2954 0.0000
-0.0022 0.0000 8.8704
Y In Ga Ge
4 2 2 2
direct
0.2480 0.2500 0.0382
0.2478 0.2500 0.4617
0.7522 0.7500 0.5383
0.7520 0.7500 0.9618
0.2628 0.7500 0.7497
0.7372 0.2500 0.2503
0.4543 0.7500 0.2499
0.5457 0.2500 0.7501
0.0471 0.7500 0.2498
0.9529 0.2500 0.7502

# 10
PBE-GGA Ga5GeIr3, optimized geometry; E = -5.44 eV/atom; Fermi-level density of states = 0.391 states/eV/atom; V = 179.39 Å³/f.u.; energy relative to the elements = -0.292 eV/atom
1.0
5.3924 -4.5000 0.0000
5.3924 4.5000 0.0000
-5.0427 0.0000 7.3927
Ga Ge Ir
10 2 6
direct
0.2219 0.7728 0.6683
0.2244 0.7756 0.0000
0.2272 0.7781 0.3317
0.2718 0.2718 0.3378
0.2792 0.2792 0.0217
0.7208 0.7208 0.9783
0.7282 0.7282 0.6622
0.7728 0.2219 0.6683
0.7756 0.2244 0.0000
0.7781 0.2272 0.3317
0.2750 0.2750 0.6848
0.7250 0.7250 0.3152
0.0000 0.0000 0.5000
0.0038 0.0038 0.8371
0.4897 0.4897 0.6591
0.5000 0.5000 0.0000
0.5103 0.5103 0.3409
0.9962 0.9962 0.1629

# 11
PBE-GGA GaGeIr, optimized geometry; E above lowest polymorph = 201 meV per atom; E = -5.60 eV/atom; Fermi-level density of states = 0.452 states/eV/atom; V = 54.01 Å³/f.u.; energy relative to the elements = -0.096 eV/atom
1.0
4.3829 0.0000 0.0000
0.0000 2.8308 4.3533
0.0000 -2.8308 4.3533
Ga Ge Ir
2 2 2
direct
0.0000 0.0000 0.0000
0.5000 0.3019 0.3019
0.0000 0.4958 0.4958
0.5000 0.6780 0.6780
0.0000 0.5011 0.9988
0.0000 0.9988 0.5011

# 12
PBE-GGA GaGeIr, optimized geometry; E above lowest polymorph = 0 meV per atom; E = -5.80 eV/atom; Fermi-level density of states = 0.440 states/eV/atom; V = 53.12 Å³/f.u.; energy relative to the elements = -0.297 eV/atom
1.0
0.0000 2.9836 2.9836
2.9836 0.0000 2.9836
2.9836 2.9836 0.0000
Ga Ge Ir
1 1 1
direct
0.0000 0.0000 0.0000
0.5000 0.5000 0.5000
0.7500 0.7500 0.7500